1.
LiCo2OF3: single point on PBEsol structure, meta-GGA SCAN.

The structure in POSCAR format:
```
LiCo2OF3
1.0
-1.3742 3.0203 -4.0039
2.1013 -3.8946 -3.6590
-5.4880 -0.2913 1.6638
F Co Li O
6 4 2 2
direct
0.7803 0.8294 0.1706
0.2197 0.1706 0.8294
0.7803 0.3412 0.1706
0.2197 0.1706 0.3412
0.2197 0.6588 0.8294
0.7803 0.8294 0.6588
0.5000 0.5000 0.5000
0.0000 0.0000 0.0000
0.5000 0.0000 0.5000
0.5000 0.5000 0.0000
0.0282 0.3333 0.6667
0.9718 0.6667 0.3333
0.6739 0.3333 0.6667
0.3261 0.6667 0.3333
```

Uncorrected energy in eV/atom: -9.78
Energy relative to the lowest polymorph listed for this composition in eV per atom: 0.000
Formation energy without anion corrections in eV/atom: -2.0874
Calculated density in g/cm3: 4.42


2.
Li3Co3OF7: single point on PBEsol structure, meta-GGA SCAN.

The structure in POSCAR format:
```
Li3Co3OF7
1.0
5.8743 0.0714 0.0418
-2.8674 5.1274 -0.0418
-2.8850 -1.8003 9.4661
F Li Co O
14 6 6 2
direct
0.1115 0.5458 0.1941
0.6472 0.0593 0.6944
0.5965 0.3066 0.9233
0.5921 0.2741 0.4301
0.6559 0.8380 0.9301
0.1594 0.8603 0.9406
0.1484 0.0826 0.6941
0.6512 0.5976 0.6969
0.1351 0.0472 0.1944
0.1132 0.7898 0.4358
0.1460 0.3227 0.9358
0.5993 0.0457 0.1969
0.5803 0.7812 0.4406
0.1167 0.3268 0.4233
0.7455 0.3729 0.6254
0.0022 0.5183 0.9958
0.7525 0.8800 0.1254
0.9775 0.9936 0.4958
0.3503 0.9069 0.3143
0.9075 0.9641 0.8143
0.3651 0.6859 0.5794
0.8283 0.4273 0.3025
0.3731 0.9151 0.7998
0.3847 0.4267 0.2998
0.3752 0.4742 0.8025
0.3936 0.2143 0.0794
0.6190 0.5620 0.1882
0.1262 0.5692 0.6882
```

Uncorrected energy in eV/atom: -8.83
Energy relative to the lowest polymorph listed for this composition in eV per atom: 0.008
Formation energy without anion corrections in eV/atom: -2.3954
Calculated density in g/cm3: 4.00


3.
LiCo2OF3: single point on PBEsol structure, meta-GGA SCAN.

The structure in POSCAR format:
```
LiCo2OF3
1.0
-3.3087 0.6015 -4.5457
-4.7827 -3.0131 -0.1384
-5.0469 2.9612 0.7407
Co F Li O
4 6 2 2
direct
0.1165 0.1165 0.5414
0.0000 0.5000 0.0000
0.5000 0.0000 0.0000
0.8835 0.8835 0.4586
0.7443 0.7443 0.2857
0.2776 0.7449 0.2349
0.7224 0.2551 0.7651
0.2557 0.2557 0.7143
0.2551 0.7224 0.7651
0.7449 0.2776 0.2349
0.5000 0.5000 0.5000
0.5000 0.5000 0.0000
0.2513 0.2513 0.1816
0.7487 0.7487 0.8184
```

Uncorrected energy in eV/atom: -9.73
Energy relative to the lowest polymorph listed for this composition in eV per atom: 0.047
Formation energy without anion corrections in eV/atom: -2.0407
D(E_F) in states/eV per cell: 1.1
Calculated density in g/cm3: 4.62


4.
Li8CoO4F2: single point on PBEsol structure, meta-GGA SCAN.

The structure in POSCAR format:
```
Li8CoO4F2
1.0
-3.2797 3.7725 -1.6135
-1.9875 -4.9091 -0.4882
-0.6767 0.1308 5.8585
Li O Co F
8 4 1 2
direct
0.8335 0.4009 0.1027
0.2879 0.4797 0.3361
0.4556 0.9464 0.7197
0.9646 0.7995 0.3855
0.1665 0.5991 0.8973
0.7121 0.5203 0.6639
0.0354 0.2005 0.6145
0.5444 0.0536 0.2803
0.8082 0.2508 0.7977
0.0694 0.8793 0.7328
0.9306 0.1207 0.2672
0.1918 0.7492 0.2023
0.0000 0.0000 0.0000
0.3738 0.5530 0.6761
0.6262 0.4470 0.3239
```

Uncorrected energy in eV/atom: -6.69
Formation energy without anion corrections in eV/atom: -2.1320
Calculated density in g/cm3: 2.48


5.
Li3CoOF3: single point on PBEsol structure, meta-GGA SCAN.

The structure in POSCAR format:
```
Li3CoOF3
1.0
2.8218 0.0000 0.0000
0.0000 2.8218 0.0000
0.0000 0.0000 8.4143
Co Li O F
1 3 1 3
direct
0.5000 0.5000 0.5000
0.5000 0.5000 0.0000
0.0000 0.0000 0.7559
0.0000 0.0000 0.2441
0.0000 0.0000 0.5000
0.5000 0.5000 0.2365
0.0000 0.0000 0.0000
0.5000 0.5000 0.7635
```

Uncorrected energy in eV/atom: -7.73
Formation energy without anion corrections in eV/atom: -2.5597
D(E_F) in states/eV per cell: 2.0
Calculated density in g/cm3: 3.79


6.
Li4Co2OF7: single point on PBEsol structure, meta-GGA SCAN.

The structure in POSCAR format:
```
Li4Co2OF7
1.0
-4.1769 -3.4143 1.7360
4.0611 1.7004 3.8649
-3.9754 3.8661 -1.9613
Co F Li O
2 7 4 1
direct
0.5915 0.7499 0.3625
0.1584 0.7499 0.3625
0.8419 0.2183 0.6174
0.8717 0.7434 0.5842
0.3764 0.2183 0.6174
0.3838 0.7676 0.6459
0.8844 0.2835 0.1483
0.8686 0.7371 0.1304
0.3991 0.2835 0.1483
0.2367 0.4734 0.7430
0.9990 0.9980 0.9921
0.6298 0.2595 0.8892
0.6278 0.2556 0.3740
0.3795 0.7589 0.1347
```

Uncorrected energy in eV/atom: -7.96
Formation energy without anion corrections in eV/atom: -2.5854
Calculated density in g/cm3: 3.48


7.
LiCoSO4F: single point on PBEsol structure, meta-GGA SCAN.

The structure in POSCAR format:
```
LiCoSO4F
1.0
-0.9133 0.9998 4.9653
-2.7265 -4.5974 -0.4956
6.9236 -1.6460 -0.6443
O F Li Co S
8 2 2 2 2
direct
0.7134 0.2123 0.9011
0.6856 0.6409 0.8588
0.4016 0.2320 0.5734
0.5984 0.7680 0.4266
0.0861 0.6472 0.3327
0.9139 0.3528 0.6673
0.3144 0.3591 0.1412
0.2866 0.7877 0.0989
0.1248 0.9186 0.7560
0.8752 0.0814 0.2440
0.7160 0.3501 0.1983
0.2840 0.6499 0.8017
0.0000 0.0000 0.5000
0.0000 0.0000 0.0000
0.6787 0.3544 0.7478
0.3213 0.6456 0.2522
```

Uncorrected energy in eV/atom: -9.14
Formation energy without anion corrections in eV/atom: -1.9119
D(E_F) in states/eV per cell: 0.0
Calculated density in g/cm3: 3.47


8.
MgCoF6: single point on PBEsol structure, meta-GGA SCAN.

The structure in POSCAR format:
```
MgCoF6
1.0
4.8686 0.0000 0.0000
2.4343 4.2163 0.0000
2.4343 1.4054 4.3404
F Mg Co
6 1 1
direct
0.8986 0.2309 0.2371
0.1014 0.7691 0.7629
0.3666 0.1014 0.7629
0.2309 0.6334 0.2371
0.6334 0.8986 0.2371
0.7691 0.3666 0.7629
0.5000 0.5000 0.5000
0.0000 0.0000 0.0000
```

Uncorrected energy in eV/atom: -8.02
Formation energy without anion corrections in eV/atom: -2.5789
Calculated density in g/cm3: 3.68


9.
RbMgCoF6: single point on PBEsol structure, meta-GGA SCAN.

The structure in POSCAR format:
```
RbMgCoF6
1.0
7.1069 0.0000 0.0000
3.5534 6.1017 0.0555
3.5534 2.0881 5.7336
F Mg Rb Co
12 2 2 2
direct
0.0613 0.1887 0.6887
0.9367 0.8370 0.9172
0.3091 0.8370 0.9172
0.6909 0.1630 0.0828
0.3091 0.4172 0.3370
0.0633 0.5828 0.6630
0.6909 0.5828 0.6630
0.3292 0.4208 0.9208
0.9387 0.8113 0.3113
0.0633 0.1630 0.0828
0.6708 0.5792 0.0792
0.9367 0.4172 0.3370
0.5000 0.5000 0.0000
0.0000 0.5000 0.0000
0.3820 0.8680 0.3680
0.6180 0.1320 0.6320
0.0000 0.5000 0.5000
0.0000 0.0000 0.0000
```

Uncorrected energy in eV/atom: -10.11
Formation energy without anion corrections in eV/atom: -2.9677
D(E_F) in states/eV per cell: 0.0
Calculated density in g/cm3: 3.79


10.
MgCo2ReF: single point on PBEsol structure, meta-GGA SCAN.

The structure in POSCAR format:
```
MgCo2ReF
1.0
4.0892 0.0000 0.0000
0.0000 4.0892 0.0000
0.0000 0.0000 4.0108
Re Mg Co F
1 1 2 1
direct
0.0000 0.0000 0.5000
0.5000 0.5000 0.5000
0.0000 0.5000 0.0000
0.5000 0.0000 0.0000
0.0000 0.0000 0.0000
```

Uncorrected energy in eV/atom: -22.26
Formation energy without anion corrections in eV/atom: 0.5812
D(E_F) in states/eV per cell: 3.0
Calculated density in g/cm3: 8.60


11.
MnCo2F: single point on PBEsol structure, meta-GGA SCAN.

The structure in POSCAR format:
```
MnCo2F
1.0
3.9015 0.0000 0.0000
1.9508 3.3788 0.0000
1.9508 1.1263 3.1856
Co Mn F
2 1 1
direct
0.7500 0.7500 0.7500
0.2500 0.2500 0.2500
0.5000 0.5000 0.5000
0.0000 0.0000 0.0000
```

Uncorrected energy in eV/atom: -13.77
Formation energy without anion corrections in eV/atom: 0.3284
D(E_F) in states/eV per cell: 3.2
Calculated density in g/cm3: 7.58


12.
MnCo2MoF: single point on PBEsol structure, meta-GGA SCAN.

The structure in POSCAR format:
```
MnCo2MoF
1.0
-0.4304 -3.3702 1.0104
-0.8343 -1.0879 -3.9843
4.0983 -0.7216 -0.6611
Mo Mn Co F
1 1 2 1
direct
0.5000 0.5000 0.5000
0.0000 0.0000 0.0000
0.0000 0.5000 0.0000
0.0000 0.0000 0.5000
0.5000 0.0000 0.0000
```

Uncorrected energy in eV/atom: -17.51
Formation energy without anion corrections in eV/atom: 0.7450
D(E_F) in states/eV per cell: 4.1
Calculated density in g/cm3: 7.59


13.
MnCo2NF: single point on PBEsol structure, meta-GGA SCAN.

The structure in POSCAR format:
```
MnCo2NF
1.0
4.3157 0.0000 0.0000
0.0000 3.7279 0.0000
0.0000 0.0000 3.7279
Mn Co N F
1 2 1 1
direct
0.5000 0.0000 0.0000
0.0000 0.0000 0.5000
0.0000 0.5000 0.0000
0.5000 0.5000 0.5000
0.0000 0.0000 0.0000
```

Uncorrected energy in eV/atom: -12.53
Formation energy without anion corrections in eV/atom: 0.6100
D(E_F) in states/eV per cell: 1.5
Calculated density in g/cm3: 5.70


14.
NbCoN2F: single point on PBEsol structure, meta-GGA SCAN.

The structure in POSCAR format:
```
NbCoN2F
1.0
-1.5644 -3.5571 0.7364
3.6620 -1.4013 1.0108
-0.6481 1.0817 3.8478
N Co F Nb
2 1 1 1
direct
0.0000 0.0000 0.5000
0.0000 0.5000 0.0000
0.5000 0.5000 0.5000
0.5000 0.0000 0.0000
0.0000 0.0000 0.0000
```

Uncorrected energy in eV/atom: -14.73
Formation energy without anion corrections in eV/atom: -0.2214
D(E_F) in states/eV per cell: 1.8
Calculated density in g/cm3: 5.09


15.
CoOsNF2: single point on PBEsol structure, meta-GGA SCAN.

The structure in POSCAR format:
```
CoOsNF2
1.0
-1.2833 -2.2293 2.6831
-2.8679 -1.5126 -2.6285
2.6683 -2.9777 -1.1978
F Os N Co
2 1 1 1
direct
0.0000 0.0000 0.5000
0.0000 0.5000 0.0000
0.0000 0.0000 0.0000
0.5000 0.0000 0.0000
0.5000 0.5000 0.5000
```

Uncorrected energy in eV/atom: -21.02
Formation energy without anion corrections in eV/atom: 0.0910
D(E_F) in states/eV per cell: 3.9
Calculated density in g/cm3: 7.72


16.
CoPN2F: single point on PBEsol structure, meta-GGA SCAN.

The structure in POSCAR format:
```
CoPN2F
1.0
3.4697 0.0000 0.0000
0.0000 3.4697 0.0000
0.0000 0.0000 3.6571
Co P F N
1 1 1 2
direct
0.5000 0.5000 0.5000
0.0000 0.0000 0.0000
0.0000 0.0000 0.5000
0.5000 0.0000 0.0000
0.0000 0.5000 0.0000
```

Uncorrected energy in eV/atom: -9.67
Formation energy without anion corrections in eV/atom: 0.2932
D(E_F) in states/eV per cell: 1.1
Calculated density in g/cm3: 5.16


17.
CoPbN2F: single point on PBEsol structure, meta-GGA SCAN.

The structure in POSCAR format:
```
CoPbN2F
1.0
-1.1784 3.3180 0.4927
-1.3793 -0.9553 3.1346
4.3274 1.1999 2.2699
N Co F Pb
2 1 1 1
direct
0.0000 0.5000 0.0000
0.5000 0.0000 0.0000
0.0000 0.0000 0.0000
0.0000 0.0000 0.5000
0.5000 0.5000 0.5000
```

Uncorrected energy in eV/atom: -22.88
Formation energy without anion corrections in eV/atom: 0.1638
D(E_F) in states/eV per cell: 2.3
Calculated density in g/cm3: 8.18


18.
CoRhN2F: single point on PBEsol structure, meta-GGA SCAN.

The structure in POSCAR format:
```
CoRhN2F
1.0
-2.8593 -1.4031 -1.9869
-0.3947 -2.7580 2.5158
-2.6471 2.3438 2.1542
Rh F N Co
1 1 2 1
direct
0.0000 0.0000 0.0000
0.0000 0.0000 0.5000
0.5000 0.0000 0.0000
0.0000 0.5000 0.0000
0.5000 0.5000 0.5000
```

Uncorrected energy in eV/atom: -13.87
Formation energy without anion corrections in eV/atom: 0.7706
D(E_F) in states/eV per cell: 2.9
Calculated density in g/cm3: 5.94


19.
CoSiN2F: single point on PBEsol structure, meta-GGA SCAN.

The structure in POSCAR format:
```
CoSiN2F
1.0
3.6672 0.0000 0.0000
0.0000 3.6672 0.0000
0.0000 0.0000 3.7572
N F Si Co
2 1 1 1
direct
0.0000 0.5000 0.0000
0.5000 0.0000 0.0000
0.0000 0.0000 0.5000
0.5000 0.5000 0.5000
0.0000 0.0000 0.0000
```

Uncorrected energy in eV/atom: -9.33
Energy relative to the lowest polymorph listed for this composition in eV per atom: 0.876
Formation energy without anion corrections in eV/atom: 0.5544
D(E_F) in states/eV per cell: 2.7
Calculated density in g/cm3: 4.40


20.
CoSiN2F: single point on PBEsol structure, meta-GGA SCAN.

The structure in POSCAR format:
```
CoSiN2F
1.0
3.4757 0.0000 0.0000
0.0000 3.5934 0.0000
0.0000 0.0000 3.5934
Si F N Co
1 1 2 1
direct
0.0000 0.0000 0.0000
0.5000 0.0000 0.0000
0.0000 0.5000 0.0000
0.0000 0.0000 0.5000
0.5000 0.5000 0.5000
```

Uncorrected energy in eV/atom: -10.21
Energy relative to the lowest polymorph listed for this composition in eV per atom: 0.000
Formation energy without anion corrections in eV/atom: -0.3215
D(E_F) in states/eV per cell: 0.6
Calculated density in g/cm3: 4.96


21.
CoTcN2F: single point on PBEsol structure, meta-GGA SCAN.

The structure in POSCAR format:
```
CoTcN2F
1.0
3.8045 0.0000 0.0000
0.0000 3.8045 0.0000
0.0000 0.0000 3.9632
N Co Tc F
2 1 1 1
direct
0.0000 0.5000 0.0000
0.5000 0.0000 0.0000
0.5000 0.5000 0.5000
0.0000 0.0000 0.0000
0.0000 0.0000 0.5000
```

Uncorrected energy in eV/atom: -14.66
Formation energy without anion corrections in eV/atom: 0.2423
D(E_F) in states/eV per cell: 3.3
Calculated density in g/cm3: 5.90


22.
CoTeNF2: single point on PBEsol structure, meta-GGA SCAN.

The structure in POSCAR format:
```
CoTeNF2
1.0
4.1463 0.0000 0.0000
0.0000 4.3712 0.0000
0.0000 0.0000 4.3712
F N Co Te
2 1 1 1
direct
0.0000 0.0000 0.5000
0.0000 0.5000 0.0000
0.5000 0.0000 0.0000
0.5000 0.5000 0.5000
0.0000 0.0000 0.0000
```

Uncorrected energy in eV/atom: -14.04
Formation energy without anion corrections in eV/atom: 0.1452
D(E_F) in states/eV per cell: 4.3
Calculated density in g/cm3: 5.00


23.
CoTe2NF: single point on PBEsol structure, meta-GGA SCAN.

The structure in POSCAR format:
```
CoTe2NF
1.0
-3.1838 -2.0065 0.1257
2.2275 -3.3791 2.4799
-1.2087 2.1712 4.0442
F Te N Co
1 2 1 1
direct
0.0000 0.0000 0.0000
0.0000 0.5000 0.0000
0.0000 0.0000 0.5000
0.5000 0.0000 0.0000
0.5000 0.5000 0.5000
```

Uncorrected energy in eV/atom: -19.62
Formation energy without anion corrections in eV/atom: 1.3096
D(E_F) in states/eV per cell: 2.8
Calculated density in g/cm3: 6.79


24.
NaCoNi2F: single point on PBEsol structure, meta-GGA SCAN.

The structure in POSCAR format:
```
NaCoNi2F
1.0
4.1190 0.0000 0.0000
0.0000 4.1190 0.0000
0.0000 0.0000 3.9248
Na Ni Co F
1 2 1 1
direct
0.5000 0.5000 0.5000
0.0000 0.5000 0.0000
0.5000 0.0000 0.0000
0.0000 0.0000 0.5000
0.0000 0.0000 0.0000
```

Uncorrected energy in eV/atom: -11.11
Formation energy without anion corrections in eV/atom: 0.3692
D(E_F) in states/eV per cell: 2.1
Calculated density in g/cm3: 5.44